(1)
VASP calculation (PBE) on LaPr2Cd4 after structural relaxation.

a b c (Å): 5.540 5.540 8.179
angles (deg): 109.80 109.80 90.00
Site moments in Bohr magnetons follow the coordinates.
Fractional coordinates of all 7 atoms:
Pr1 0.735 0.735 0.469  0.09
Pr2 0.265 0.265 0.531  0.09
Cd1 0.385 0.885 0.770  0.00
Cd2 0.885 0.385 0.770  0.00
Cd3 0.615 0.115 0.230  0.00
Cd4 0.115 0.615 0.230  0.00
La1 0.000 0.000 0.000  -0.01

Formation energy: -0.16 eV per atom
Symmetry: No. 139
Total magnetization: 0.053 μB per atom


(2)
VASP calculation (PBE) on NdLuAu2 after structural relaxation.

a b c (Å): 3.571 3.571 7.422
angles (deg): 90.00 90.00 90.00
Fractional coordinates of all 4 atoms:
Au1 0.000 0.000 0.778
Au2 0.000 0.000 0.222
Nd1 0.500 0.500 0.500
Lu1 0.500 0.500 0.000

Formation energy: -0.84 eV per atom
Symmetry: No. 123
Total magnetization: 0.000 μB per atom


(3)
VASP calculation (PBE) on Nd8Si3HgI4 after structural relaxation.

a b c (Å): 8.751 9.137 8.753
angles (deg): 118.64 119.99 90.00
Fractional coordinates of all 16 atoms:
Nd1 0.758 0.293 0.034
Nd2 0.733 0.698 0.465
Nd3 0.276 0.293 0.034
Nd4 0.724 0.707 0.966
Nd5 0.758 0.293 0.517
Nd6 0.267 0.302 0.535
Nd7 0.242 0.707 0.966
Nd8 0.242 0.707 0.483
Si1 0.000 0.500 0.500
Si2 0.500 0.500 0.000
Si3 0.500 0.500 0.500
I1 0.000 0.000 0.500
I2 0.500 0.000 0.500
I3 0.500 0.000 0.000
I4 0.000 0.000 0.000
Hg1 0.000 0.500 0.000

Symmetry: No. 166
Total magnetization: 0.000 μB per atom
Raw total energy: -4.663 eV/atom


(4)
VASP calculation (PBE) on CoRe2Au after structural relaxation.

a b c (Å): 3.067 3.067 6.329
angles (deg): 90.00 90.00 90.00
Site moments in Bohr magnetons follow the coordinates.
Fractional coordinates of all 4 atoms:
Re1 0.000 0.000 0.984  0.21
Re2 0.500 0.500 0.217  -0.03
Co1 0.500 0.500 0.774  1.27
Au1 0.000 0.000 0.525  -0.02

Formation energy: 0.35 eV per atom
Symmetry: No. 99
Total magnetization: 0.359 μB per atom
E above lowest polymorph: 110.7 meV per atom